[1]
DFT (GGA-PBE) results for a geometry-optimized TlSb4Pb6 structure.

Unit cell a=6.5886 b=6.5886 c=9.5992 alpha=109.81 beta=109.81 gamma=89.61
Fractional positions:
Tl (0.0000, 0.0000, 0.0000)
Sb (0.1268, 0.5919, 0.7236)
Sb (0.4040, 0.4040, 0.2721)
Sb (0.5919, 0.1268, 0.7236)
Sb (0.8728, 0.8728, 0.2775)
Pb (0.0597, 0.0597, 0.6509)
Pb (0.4072, 0.9382, 0.3499)
Pb (0.4983, 0.9933, 0.9984)
Pb (0.5922, 0.5922, 0.6463)
Pb (0.9382, 0.4072, 0.3499)
Pb (0.9933, 0.4983, 0.9984)

Properties
Formation energy from raw total energies ... 4 kJ per mole of atoms
Total magnetization ... 0.000 μB per formula unit
Symmetry ... Cm (8)
DOS at the Fermi energy ... 5.00 states/eV/cell
Crystal system ... monoclinic


[2]
DFT (GGA-PBE) results for a geometry-optimized Sm2PaF structure.

Unit cell a=10.5324 b=10.5324 c=10.5324 alpha=17.69 beta=17.69 gamma=17.69
Fractional positions:
Sm (0.1043, 0.1043, 0.1043)
Sm (0.8957, 0.8957, 0.8957)
Pa (0.0000, 0.0000, 0.0000)
F (0.5000, 0.5000, 0.5000)

Properties
Formation energy from raw total energies ... -79 kJ per mole of atoms
Total magnetization ... 0.000 μB per formula unit
Symmetry ... R-3m (166)
DOS at the Fermi energy ... 3.44 states/eV/cell
Crystal system ... trigonal


[3]
DFT (GGA-PBE) results for a geometry-optimized Ta2AgIr structure.

Unit cell a=2.8525 b=2.8525 c=8.3422 alpha=90.00 beta=90.00 gamma=90.00
Fractional positions:
Ta (0.0000, 0.0000, 0.2319)
Ta (0.0000, 0.0000, 0.7681)
Ag (0.5000, 0.5000, 0.5000)
Ir (0.5000, 0.5000, 0.0000)

Properties
Total magnetization ... 0.000 μB per formula unit
Symmetry ... P4/mmm (123)
DOS at the Fermi energy ... 3.31 states/eV/cell
Crystal system ... tetragonal
Formation energy from the elements ... -0.12 eV per atom


[4]
DFT (GGA-PBE) results for a geometry-optimized LaNd3Se6 structure.

Unit cell a=11.9183 b=4.2848 c=12.2391 alpha=90.00 beta=108.65 gamma=90.00
Fractional positions:
La (0.0459, 0.2500, 0.1912)
La (0.9541, 0.7500, 0.8088)
Nd (0.1594, 0.2500, 0.5845)
Nd (0.3188, 0.7500, 0.9983)
Nd (0.4351, 0.2500, 0.3320)
Nd (0.5649, 0.7500, 0.6680)
Nd (0.6812, 0.2500, 0.0017)
Nd (0.8406, 0.7500, 0.4155)
Se (0.0842, 0.7500, 0.4019)
Se (0.1143, 0.2500, 0.9633)
Se (0.1914, 0.7500, 0.7501)
Se (0.2565, 0.7500, 0.2248)
Se (0.3970, 0.2500, 0.5619)
Se (0.4809, 0.2500, 0.1135)
Se (0.5191, 0.7500, 0.8865)
Se (0.6030, 0.7500, 0.4381)
Se (0.7435, 0.2500, 0.7752)
Se (0.8086, 0.2500, 0.2499)
Se (0.8857, 0.7500, 0.0367)
Se (0.9158, 0.2500, 0.5981)

Properties
Formation energy from raw total energies ... -185 kJ per mole of atoms
Total magnetization ... 0.000 μB per formula unit
Symmetry ... P2_1/m (11)
Crystal system ... monoclinic
Distance to the lowest polymorph of the same formula ... 0 meV/atom


[5]
DFT (GGA-PBE) results for a geometry-optimized CuRe2Os structure.

Unit cell a=2.7275 b=3.9081 c=5.3090 alpha=90.00 beta=90.38 gamma=90.00
Fractional positions:
Cu (0.0000, 0.0000, 0.0000)
Re (0.4948, 0.5000, 0.2428)
Re (0.5052, 0.5000, 0.7572)
Os (0.0000, 0.0000, 0.5000)

Properties
Total magnetization ... 0.000 μB per formula unit
Symmetry ... P2/m (10)
DOS at the Fermi energy ... 2.78 states/eV/cell
Crystal system ... monoclinic
Formation energy from the elements ... 0.20 eV per atom
Distance to the lowest polymorph of the same formula ... 0 meV/atom


[6]
DFT (GGA-PBE) results for a geometry-optimized NaRhO3 structure.

Unit cell a=7.2646 b=7.2646 c=5.3846 alpha=96.67 beta=96.67 gamma=78.27
Fractional positions:
Na (0.1185, 0.8815, 0.7500)
Na (0.3128, 0.6872, 0.2500)
Na (0.6872, 0.3128, 0.7500)
Na (0.8815, 0.1185, 0.2500)
Rh (0.1623, 0.3260, 0.9816)
Rh (0.3260, 0.1623, 0.4816)
Rh (0.6740, 0.8377, 0.5184)
Rh (0.8377, 0.6740, 0.0184)
O (0.0864, 0.1986, 0.6441)
O (0.0994, 0.6000, 0.9276)
O (0.1986, 0.0864, 0.1441)
O (0.2915, 0.3884, 0.3087)
O (0.3884, 0.2915, 0.8087)
O (0.4000, 0.9006, 0.5724)
O (0.6000, 0.0994, 0.4276)
O (0.6116, 0.7085, 0.1913)
O (0.7085, 0.6116, 0.6913)
O (0.8014, 0.9136, 0.8559)
O (0.9006, 0.4000, 0.0724)
O (0.9136, 0.8014, 0.3559)

Properties
Formation energy from raw total energies ... -90 kJ per mole of atoms
Total magnetization ... 0.000 μB per formula unit
Symmetry ... C2/c (15)
DOS at the Fermi energy ... 9.62 states/eV/cell
Crystal system ... monoclinic